DFT (PBE) results for a relaxed Na2CoH6Pd crystal.

POSCAR file:
```
Na2CoH6Pd
1.0
-4.1225 -2.4458 -0.9667
2.0363 -4.1004 1.6909
1.7707 3.8933 7.3090
Co H Na Pd
2 12 4 2
Cartesian
0.0000 0.0000 0.0000 Co
1.9035 -0.1036 4.4999 Co
-1.5950 -5.0011 0.5544 H
-2.6667 -2.8261 -0.3382 H
-0.5559 0.3388 1.4942 H
-1.6622 -2.8900 2.0398 H
1.4028 -1.6466 4.6646 H
0.4508 0.2872 3.8714 H
-0.7663 -2.9401 4.1617 H
-1.7183 -1.0063 3.3686 H
1.3467 0.2370 5.9934 H
0.2404 -2.9918 6.5390 H
2.3512 0.1731 8.3714 H
1.2795 2.3481 7.4788 H
0.4285 -1.6823 2.4270 Na
-0.6173 -4.9555 2.7921 Na
0.3018 2.3025 5.2411 Na
-0.7440 -0.9707 5.6061 Na
-1.0431 -3.2731 0.3621 Pd
-1.1759 0.7237 3.1711 Pd
```

Density ... 4.4 g cm⁻³
Final energy ... -3.67 eV per atom